No. 1
Computed, not measured: AuCl2 after structural relaxation at the GGA-PBEsol level of DFT.

Geometry as extended XYZ:
```
3
Lattice="0.000 3.169 3.169 3.169 0.000 3.169 3.169 3.169 0.000" Properties=species:S:1:pos:R:3 pbc="T T T"
Au 0.000 0.000 0.000
Cl 1.585 1.585 1.585
Cl 4.754 4.754 4.754
```

## Properties
The value obtained for the uncorrected formation energy is 0.246 eV per atom. The value obtained for the total moment is 0.26 μB/atom.

No. 2
Computed, not measured: Sc3TaPt after structural relaxation at the GGA-PBEsol level of DFT.

Geometry as extended XYZ:
```
5
Lattice="4.924 0.000 0.000 0.000 4.924 0.000 0.000 0.000 4.924" Properties=species:S:1:pos:R:3 pbc="T T T"
Sc 0.000 0.000 2.462
Sc 0.000 2.462 0.000
Sc 2.462 0.000 0.000
Ta 2.462 2.462 2.462
Pt 0.000 0.000 0.000
```

## Properties
Its formation energy is 1.78 eV per formula unit. The value obtained for the total moment is 0.18 μB/atom.

No. 3
Computed, not measured: HfGa2Cu2 after structural relaxation at the GGA-PBEsol level of DFT.

Geometry as extended XYZ:
```
5
Lattice="-1.873 1.873 5.315 1.873 -1.873 5.315 1.873 1.873 -5.315" Properties=species:S:1:pos:R:3 pbc="T T T"
Hf 0.000 0.000 0.000
Ga 1.873 0.000 2.658
Ga 0.000 1.873 2.658
Cu 0.000 0.000 4.191
Cu 0.000 0.000 6.440
```

## Properties
Its formation energy is -1.08 eV per formula unit. The value obtained for the total moment is 0.00 μB/atom.

No. 4
Computed, not measured: Zr2Al3 after structural relaxation at the GGA-PBEsol level of DFT.

Geometry as extended XYZ:
```
10
Lattice="0.000 6.906 2.770 4.774 0.000 2.770 4.774 6.906 0.000" Properties=species:S:1:pos:R:3 pbc="T T T"
Zr 5.410 4.180 2.770
Zr 6.525 7.633 4.155
Zr 4.138 9.631 2.770
Zr 3.023 6.178 4.155
Al 4.127 1.579 2.720
Al 1.740 1.874 1.335
Al 3.033 5.032 1.335
Al 4.774 6.906 2.033
Al 7.161 10.358 3.418
Al 5.420 12.232 2.720
```

## Properties
Its formation energy is -2.59 eV per formula unit. The value obtained for the total moment is 0.00 μB/atom.

No. 5
Computed, not measured: Co2Ir after structural relaxation at the GGA-PBEsol level of DFT.

Geometry as extended XYZ:
```
24
Lattice="4.637 0.000 0.000 -2.319 4.016 0.000 0.000 0.000 15.096" Properties=species:S:1:pos:R:3 pbc="T T T"
Co -1.159 2.008 0.000
Co -1.159 2.008 7.548
Co 0.000 1.299 3.774
Co -1.194 3.367 3.774
Co 1.125 0.649 11.322
Co 0.000 2.677 1.919
Co 0.000 2.677 5.629
Co 2.319 0.000 0.000
Co 2.319 0.000 7.548
Co 1.159 2.008 0.000
Co 1.159 2.008 7.548
Co 2.319 1.339 9.467
Co 2.319 1.339 13.177
Co 1.194 3.367 3.774
Co 3.512 0.649 11.322
Co 2.319 2.717 11.322
Ir 0.000 0.000 1.374
Ir 0.000 0.000 6.174
Ir 0.000 0.000 8.922
Ir 0.000 0.000 13.722
Ir 0.000 2.677 9.911
Ir 0.000 2.677 12.733
Ir 2.319 1.339 2.363
Ir 2.319 1.339 5.185
```

## Properties
Its formation energy is 0.36 eV per formula unit. The value obtained for the total moment is 1.46 μB/atom. The value obtained for the energy above the most stable polymorph in this dataset is 0.26 eV/f.u.

No. 6
Computed, not measured: AlZnCd after structural relaxation at the GGA-PBEsol level of DFT.

Geometry as extended XYZ:
```
3
Lattice="0.000 3.064 3.064 3.064 0.000 3.064 3.064 3.064 0.000" Properties=species:S:1:pos:R:3 pbc="T T T"
Al 0.000 0.000 0.000
Zn 4.595 4.595 4.595
Cd 3.064 3.064 3.064
```

## Properties
Its formation energy is 0.33 eV per formula unit. The value obtained for the total moment is 0.00 μB/atom. The value obtained for the energy above the most stable polymorph in this dataset is 0.00 eV/f.u.

No. 7
Computed, not measured: BaLaAg2 after structural relaxation at the GGA-PBEsol level of DFT.

Geometry as extended XYZ:
```
4
Lattice="5.531 0.000 0.000 0.000 5.531 0.000 0.000 0.000 3.759" Properties=species:S:1:pos:R:3 pbc="T T T"
Ba 0.000 0.000 0.000
La 2.765 2.765 0.000
Ag 0.000 2.765 1.880
Ag 2.765 0.000 1.880
```

## Properties
Its formation energy is -0.60 eV per formula unit. The value obtained for the total moment is 0.00 μB/atom.

No. 8
Computed, not measured: Sc2NbIrO after structural relaxation at the GGA-PBEsol level of DFT.

Geometry as extended XYZ:
```
5
Lattice="4.154 0.000 0.000 0.000 4.154 0.000 0.000 0.000 4.506" Properties=species:S:1:pos:R:3 pbc="T T T"
Sc 0.000 2.077 0.000
Sc 2.077 0.000 0.000
Nb 0.000 0.000 2.253
Ir 2.077 2.077 2.253
O 2.077 2.077 0.000
```

## Properties
The value obtained for the uncorrected formation energy is -0.803 eV per atom. The value obtained for the total moment is 0.00 μB/atom.

No. 9
Computed, not measured: ZrSbAs2 after structural relaxation at the GGA-PBEsol level of DFT.

Geometry as extended XYZ:
```
4
Lattice="3.514 0.000 0.000 0.000 3.514 0.000 0.000 0.000 6.614" Properties=species:S:1:pos:R:3 pbc="T T T"
Zr 0.000 0.000 0.000
Sb 0.000 0.000 3.307
As 1.757 1.757 1.316
As 1.757 1.757 5.298
```

## Properties
The value obtained for the uncorrected formation energy is -0.484 eV per atom. The value obtained for the total moment is 0.00 μB/atom.

No. 10
Computed, not measured: MgTa2Mn after structural relaxation at the GGA-PBEsol level of DFT.

Geometry as extended XYZ:
```
4
Lattice="-1.576 2.321 4.415 1.576 -2.321 4.415 1.576 2.321 -4.415" Properties=species:S:1:pos:R:3 pbc="T T T"
Mg 0.000 0.000 0.000
Ta 1.576 0.000 2.506
Ta 0.000 2.321 1.909
Mn 0.000 0.000 4.415
```

## Properties
Its formation energy is 0.95 eV per formula unit. The value obtained for the total moment is 0.00 μB/atom.

No. 11
Computed, not measured: ScIrI2N after structural relaxation at the GGA-PBEsol level of DFT.

Geometry as extended XYZ:
```
5
Lattice="5.549 0.000 0.000 0.000 5.549 0.000 0.000 0.000 3.690" Properties=species:S:1:pos:R:3 pbc="T T T"
Sc 0.000 0.000 0.000
Ir 2.774 2.774 1.845
I 0.000 2.774 0.000
I 2.774 0.000 0.000
N 0.000 0.000 1.845
```

## Properties
The value obtained for the uncorrected formation energy is 0.830 eV per atom. The value obtained for the total moment is 0.00 μB/atom. The value obtained for the energy above the most stable polymorph in this dataset is 3.40 eV/f.u.

No. 12
Computed, not measured: CaYHg after structural relaxation at the GGA-PBEsol level of DFT.

Geometry as extended XYZ:
```
3
Lattice="-1.835 1.835 6.446 1.835 -1.835 6.446 1.835 1.835 -6.446" Properties=species:S:1:pos:R:3 pbc="T T T"
Ca 0.000 0.000 0.000
Y 0.000 0.000 3.613
Hg 0.000 0.000 8.394
```

## Properties
Its formation energy is -1.10 eV per formula unit. The value obtained for the total moment is 0.00 μB/atom. The value obtained for the energy above the most stable polymorph in this dataset is 0.00 eV/f.u.

What did we get for DFT total energy? Answer: -7.2, -37.5, -26.9, -66.1, -199.5, -6.5, -14.7, -43.1, -25.8, -35.6, -24.3, -10.6 eV for the cell shown, in the order shown.